[1]
DFT (GGA-PBEsol) results for a relaxed K2MgRe crystal.

Computed properties:
The value obtained for the formation energy is 1178 meV/atom.

Structure (CIF):
```
data_K2MgRe
_cell_length_a 7.613
_cell_length_b 7.613
_cell_length_c 7.613
_cell_angle_alpha 159.14
_cell_angle_beta 130.29
_cell_angle_gamma 54.47
_symmetry_space_group_name_H-M 'P 1'
_symmetry_Int_Tables_number 1
_symmetry_space_group_name_Hall 'P 1'
loop_
_atom_site_label
_atom_site_type_symbol
_atom_site_fract_x
_atom_site_fract_y
_atom_site_fract_z
K1 K 0.000 0.000 0.000
K2 K 0.695 0.195 0.500
Mg1 Mg 0.404 0.404 0.000
Re1 Re 0.233 0.733 0.500
```

[2]
DFT (GGA-PBEsol) results for a relaxed K3MgRe crystal.

Computed properties:
The value obtained for the formation energy is 1795 meV/atom.

Structure (CIF):
```
data_K3MgRe
_cell_length_a 6.560
_cell_length_b 6.560
_cell_length_c 6.560
_cell_angle_alpha 90.00
_cell_angle_beta 90.00
_cell_angle_gamma 90.00
_symmetry_space_group_name_H-M 'P 1'
_symmetry_Int_Tables_number 1
_symmetry_space_group_name_Hall 'P 1'
loop_
_atom_site_label
_atom_site_type_symbol
_atom_site_fract_x
_atom_site_fract_y
_atom_site_fract_z
K1 K 0.000 0.000 0.500
K2 K 0.000 0.500 0.000
K3 K 0.500 0.000 0.000
Mg1 Mg 0.000 0.000 0.000
Re1 Re 0.500 0.500 0.500
```

[3]
DFT (GGA-PBEsol) results for a relaxed KMgRe2Se crystal.

Computed properties:
The formation energy from raw total energies is 2.14 eV per atom.

Structure (CIF):
```
data_KMgRe2Se
_cell_length_a 4.946
_cell_length_b 4.946
_cell_length_c 5.224
_cell_angle_alpha 90.00
_cell_angle_beta 90.00
_cell_angle_gamma 90.00
_symmetry_space_group_name_H-M 'P 1'
_symmetry_Int_Tables_number 1
_symmetry_space_group_name_Hall 'P 1'
loop_
_atom_site_label
_atom_site_type_symbol
_atom_site_fract_x
_atom_site_fract_y
_atom_site_fract_z
K1 K 0.000 0.000 0.000
Mg1 Mg 0.500 0.500 0.500
Re1 Re 0.000 0.500 0.500
Re2 Re 0.500 0.000 0.500
Se1 Se 0.500 0.500 0.000
```

[4]
DFT (GGA-PBEsol) results for a relaxed KMgRh2 crystal.

Computed properties:
The value obtained for the formation energy is 664 meV/atom.

Structure (CIF):
```
data_KMgRh2
_cell_length_a 4.050
_cell_length_b 4.050
_cell_length_c 4.304
_cell_angle_alpha 90.00
_cell_angle_beta 90.00
_cell_angle_gamma 90.00
_symmetry_space_group_name_H-M 'P 1'
_symmetry_Int_Tables_number 1
_symmetry_space_group_name_Hall 'P 1'
loop_
_atom_site_label
_atom_site_type_symbol
_atom_site_fract_x
_atom_site_fract_y
_atom_site_fract_z
K1 K 0.000 0.000 0.000
Mg1 Mg 0.500 0.500 0.000
Rh1 Rh 0.000 0.500 0.500
Rh2 Rh 0.500 0.000 0.500
```